1.
Below is a crystal of YSn3Rh relaxed with PBEsol, with properties calculated at the meta-GGA SCAN level. Values from VASP.

Quantum ESPRESSO input file:
```
&SYSTEM
  ibrav = 0, nat = 5, ntyp = 3
/
ATOMIC_SPECIES
Y 88.91 Y.upf
Sn 118.71 Sn.upf
Rh 102.91 Rh.upf
ATOMIC_POSITIONS angstrom
Y 0.000 0.000 0.000
Sn 0.000 2.534 2.534
Sn 2.534 0.000 2.534
Sn 2.534 2.534 0.000
Rh 2.534 2.534 2.534
CELL_PARAMETERS angstrom
5.069 0.000 0.000
0.000 5.069 0.000
0.000 0.000 5.069
```

Results
Formation enthalpy at 0 K (meV per atom): -93.2

***

2.
Below is a crystal of CoP2 relaxed with PBEsol, with properties calculated at the meta-GGA SCAN level. Values from VASP.

Quantum ESPRESSO input file:
```
&SYSTEM
  ibrav = 0, nat = 12, ntyp = 2
/
ATOMIC_SPECIES
Co 58.93 Co.upf
P 30.97 P.upf
ATOMIC_POSITIONS angstrom
Co 0.760 0.005 1.062
Co -0.399 2.736 3.585
Co 3.555 2.747 1.461
Co 2.396 5.478 3.984
P -1.016 0.712 4.122
P 0.144 2.030 1.599
P 1.575 3.446 0.654
P 0.415 4.778 3.178
P 2.741 0.705 1.869
P 1.581 2.037 4.392
P 3.013 3.453 3.447
P 4.172 4.771 0.924
CELL_PARAMETERS angstrom
5.475 0.000 0.000
0.000 5.483 0.000
-2.319 0.000 5.046
```

Results
Formation enthalpy at 0 K (meV per atom): -533.0

***

3.
Below is a crystal of Cs relaxed with PBEsol, with properties calculated at the meta-GGA SCAN level. Values from VASP.

Quantum ESPRESSO input file:
```
&SYSTEM
  ibrav = 0, nat = 20, ntyp = 1
/
ATOMIC_SPECIES
Cs 132.91 Cs.upf
ATOMIC_POSITIONS angstrom
Cs 0.606 1.625 10.356
Cs 0.810 12.190 5.690
Cs 1.625 10.356 0.606
Cs 2.440 2.440 2.440
Cs 2.644 7.106 4.875
Cs 3.856 5.894 11.375
Cs 4.060 10.560 8.940
Cs 4.875 2.644 7.106
Cs 5.690 0.810 12.190
Cs 5.894 11.375 3.856
Cs 7.106 4.875 2.644
Cs 7.310 7.310 7.310
Cs 8.125 9.144 12.395
Cs 8.940 4.060 10.560
Cs 9.144 12.395 8.125
Cs 10.356 0.606 1.625
Cs 10.560 8.940 4.060
Cs 11.375 3.856 5.894
Cs 12.190 5.690 0.810
Cs 12.395 8.125 9.144
CELL_PARAMETERS angstrom
13.000 0.000 0.000
0.000 13.000 0.000
0.000 0.000 13.000
```

Results
Excess energy over the best structure of this formula in the dataset (meV/atom): 13
Formation enthalpy at 0 K (meV per atom): 13.0

***

- The highest formation enthalpy at 0 K belongs to which entry?
  Cs